# 1
Material: Re3Os
Method: DFT, PBE
State: relaxed

```
Re3Os
1.0
2.757 -3.911 0.000
2.757 3.911 0.000
0.000 0.000 2.753
Re Os
3 1
Direct
0.000 0.000 0.000
0.000 0.500 0.500
0.500 0.000 0.500
0.500 0.500 0.000
```

formation enthalpy at 0 K	49.3	meV per atom
SG	Cmmm, No. 65
density	20.94	g/cm³



# 2
Material: Na2CaOs
Method: DFT, PBE
State: relaxed

```
Na2CaOs
1.0
0.000 3.576 3.576
3.576 0.000 3.576
3.576 3.576 0.000
Na Ca Os
2 1 1
Direct
0.250 0.250 0.250
0.750 0.750 0.750
0.000 0.000 0.000
0.500 0.500 0.500
```

formation enthalpy at 0 K	932.3	meV per atom
SG	Fm-3m, No. 225
polymorph energy (0 for the lowest one)	26.3	meV/atom
density	5.02	g/cm³



# 3
Material: Tb2YAu4
Method: DFT, PBE
State: relaxed

```
Tb2YAu4
1.0
2.496 1.441 8.260
-2.496 1.441 8.260
0.000 -2.882 8.260
Tb Y Au
2 1 4
Direct
0.241 0.241 0.241
0.759 0.759 0.759
0.000 0.000 0.000
0.120 0.120 0.120
0.365 0.365 0.365
0.635 0.635 0.635
0.880 0.880 0.880
```

formation enthalpy at 0 K	-706.5	meV per atom
SG	R-3m, No. 166
density	11.13	g/cm³